[1]
PBE-GGA DyY3Tm6, relaxed; formation energy = 0.311 eV per atom; magnetization = 0.001 μB per atom; SG = R3, No. 146; energy relative to the lowest polymorph listed for this composition = 168.3 meV/atom
1.0
8.594 0.000 4.560
3.087 8.020 4.560
2.167 1.488 6.295
Dy Y Tm
1 3 6
Cartesian
11.079 7.607 10.255
6.320 4.340 8.844
7.573 5.200 6.485
2.812 1.931 5.078
10.249 5.000 8.458
5.504 7.769 6.949
6.261 2.346 5.374
3.583 4.508 7.029
8.287 1.724 8.511
7.569 7.114 10.094

[2]
PBE-GGA Dy7Y2Tm3, relaxed; formation energy = 0.078 eV per atom; magnetization = 0.000 μB per atom; SG = P2/m, No. 10; energy relative to the lowest polymorph listed for this composition = 0.0 meV/atom
1.0
-0.035 -0.128 -3.494
6.204 -1.055 -0.023
1.485 -17.675 0.632
Dy Y Tm
7 2 3
Cartesian
2.228 -9.187 -1.435
5.426 -9.671 -1.449
3.719 -3.501 0.091
0.000 0.000 0.000
3.970 -15.229 0.518
7.065 -15.754 -1.243
0.589 -3.104 -1.642
4.263 -6.496 -1.554
3.391 -12.362 -1.331
3.085 -0.591 -1.758
1.170 -6.170 0.214
6.519 -12.559 0.395